*A*
The following is a DFT calculation (PBE) of a relaxed structure of HfTl3Zn.

```
data_HfTl3Zn
_space_group_name_H-M_alt 'P m -3 m'
_space_group_IT_number 221
_space_group_name_Hall '-P 4 2 3'
_cell_length_a 5.194
_cell_length_b 5.194
_cell_length_c 5.194
_cell_angle_alpha 90.00
_cell_angle_beta 90.00
_cell_angle_gamma 90.00
loop_
_atom_site_label
_atom_site_type_symbol
_atom_site_fract_x
_atom_site_fract_y
_atom_site_fract_z
_atom_site_occupancy
Hf1 Hf 0.000 0.000 0.000 1
Tl1 Tl 0.000 0.500 0.500 1
Zn1 Zn 0.500 0.500 0.500 1
```



*B*
The following is a DFT calculation (PBE) of a relaxed structure of HfTl3Zn.

```
data_HfTl3Zn
_space_group_name_H-M_alt 'P m -3 m'
_space_group_IT_number 221
_space_group_name_Hall '-P 4 2 3'
_cell_length_a 5.707
_cell_length_b 5.707
_cell_length_c 5.707
_cell_angle_alpha 90.00
_cell_angle_beta 90.00
_cell_angle_gamma 90.00
loop_
_atom_site_label
_atom_site_type_symbol
_atom_site_fract_x
_atom_site_fract_y
_atom_site_fract_z
_atom_site_occupancy
Hf1 Hf 0.000 0.000 0.000 1
Tl1 Tl 0.000 0.000 0.500 1
Zn1 Zn 0.500 0.500 0.500 1
```



*B* wins, 65 meV/atom ahead of the next structure.



*A*
The following is a DFT calculation (PBE) of a relaxed structure of Hf3TlZn.

```
data_Hf3TlZn
_space_group_name_H-M_alt 'P m -3 m'
_space_group_IT_number 221
_space_group_name_Hall '-P 4 2 3'
_cell_length_a 5.260
_cell_length_b 5.260
_cell_length_c 5.260
_cell_angle_alpha 90.00
_cell_angle_beta 90.00
_cell_angle_gamma 90.00
loop_
_atom_site_label
_atom_site_type_symbol
_atom_site_fract_x
_atom_site_fract_y
_atom_site_fract_z
_atom_site_occupancy
Hf1 Hf 0.000 0.000 0.500 1
Tl1 Tl 0.000 0.000 0.000 1
Zn1 Zn 0.500 0.500 0.500 1
```



*B*
The following is a DFT calculation (PBE) of a relaxed structure of Hf3TlZn.

```
data_Hf3TlZn
_space_group_name_H-M_alt 'P m -3 m'
_space_group_IT_number 221
_space_group_name_Hall '-P 4 2 3'
_cell_length_a 4.933
_cell_length_b 4.933
_cell_length_c 4.933
_cell_angle_alpha 90.00
_cell_angle_beta 90.00
_cell_angle_gamma 90.00
loop_
_atom_site_label
_atom_site_type_symbol
_atom_site_fract_x
_atom_site_fract_y
_atom_site_fract_z
_atom_site_occupancy
Hf1 Hf 0.000 0.000 0.500 1
Tl1 Tl 0.500 0.500 0.500 1
Zn1 Zn 0.000 0.000 0.000 1
```



*B* wins, 898 meV/atom ahead of the next structure.



*A*
The following is a DFT calculation (PBE) of a relaxed structure of HfZrTl.

```
data_HfZrTl
_space_group_name_H-M_alt 'I 4 m m'
_space_group_IT_number 107
_space_group_name_Hall 'I 4 -2'
_cell_length_a 3.593
_cell_length_b 3.593
_cell_length_c 10.652
_cell_angle_alpha 90.00
_cell_angle_beta 90.00
_cell_angle_gamma 90.00
loop_
_atom_site_label
_atom_site_type_symbol
_atom_site_fract_x
_atom_site_fract_y
_atom_site_fract_z
_atom_site_occupancy
Hf1 Hf 0.000 0.000 0.000 1
Zr1 Zr 0.000 0.000 0.666 1
Tl1 Tl 0.000 0.000 0.335 1
```



*B*
The following is a DFT calculation (PBE) of a relaxed structure of HfZrTl.

```
data_HfZrTl
_space_group_name_H-M_alt 'I 4/m m m'
_space_group_IT_number 139
_space_group_name_Hall '-I 4 2'
_cell_length_a 10.806
_cell_length_b 10.806
_cell_length_c 5.043
_cell_angle_alpha 90.00
_cell_angle_beta 90.00
_cell_angle_gamma 90.00
loop_
_atom_site_label
_atom_site_type_symbol
_atom_site_fract_x
_atom_site_fract_y
_atom_site_fract_z
_atom_site_occupancy
Hf1 Hf 0.000 0.376 0.000 1
Zr1 Zr 0.179 0.179 0.000 1
Tl1 Tl 0.000 0.218 0.500 1
```



*C*
The following is a DFT calculation (PBE) of a relaxed structure of HfZrTl.

```
data_HfZrTl
_space_group_name_H-M_alt 'P -1'
_space_group_IT_number 2
_cell_length_a 3.131
_cell_length_b 6.293
_cell_length_c 7.415
_cell_angle_alpha 101.76
_cell_angle_beta 101.79
_cell_angle_gamma 91.60
loop_
_space_group_symop_operation_xyz
'x,y,z'
'-x,-y,-z'
loop_
_atom_site_label
_atom_site_type_symbol
_atom_site_fract_x
_atom_site_fract_y
_atom_site_fract_z
_atom_site_occupancy
Hf1 Hf 0.172 0.339 0.348 1
Zr1 Zr 0.177 0.833 0.343 1
Tl1 Tl 0.500 0.000 0.000 1
Tl2 Tl 0.500 0.500 0.000 1
```



*D*
The following is a DFT calculation (PBE) of a relaxed structure of HfZrTl.

```
data_HfZrTl
_space_group_name_H-M_alt 'P -6 m 2'
_space_group_IT_number 187
_space_group_name_Hall 'P -6 2'
_cell_length_a 5.0853
_cell_length_b 5.0853
_cell_length_c 3.0489
_cell_angle_alpha 90.00
_cell_angle_beta 90.00
_cell_angle_gamma 120.00
loop_
_atom_site_label
_atom_site_type_symbol
_atom_site_fract_x
_atom_site_fract_y
_atom_site_fract_z
_atom_site_occupancy
Hf1 Hf 0.0000 0.0000 0.0000 1
Zr1 Zr 0.3333 0.6667 0.0000 1
Tl1 Tl 0.6667 0.3333 0.5000 1
```



*C* wins, 19 meV/atom ahead of the next structure.